[1]
Computed, not measured: a relaxed Sm2PuOs crystal at the PBE-GGA level of DFT.

extended XYZ file:
```
4
Lattice="3.436 0.000 0.000 1.718 2.976 0.000 1.718 0.992 10.880" Properties=species:S:1:pos:R:3 pbc="T T T"
Sm 1.718 0.992 7.511
Os 3.436 1.984 5.440
Sm 5.154 2.976 3.369
Pu 0.000 0.000 0.000
```

Calculated values
DFT formation energy = 0.455 eV/atom
crystal system = trigonal
space-group type = No. 166

---

[2]
Computed, not measured: a relaxed SmPu2Os crystal at the PBE-GGA level of DFT.

extended XYZ file:
```
4
Lattice="-0.695 3.098 3.537 -3.992 -0.187 2.573 0.573 -2.079 5.127" Properties=species:S:1:pos:R:3 pbc="T T T"
Pu -1.148 0.378 2.637
Sm -2.057 0.416 5.619
Pu -2.967 0.454 8.601
Os 0.000 0.000 0.000
```

Calculated values
DFT formation energy = 0.199 eV/atom
energy above the most stable polymorph in this dataset = 182.8 meV per atom
crystal system = trigonal
space-group type = No. 166

---

[3]
Computed, not measured: a relaxed SmPu2Os crystal at the PBE-GGA level of DFT.

extended XYZ file:
```
32
Lattice="-1.329 3.335 -4.743 -4.461 -6.934 -3.625 -12.601 4.578 6.750" Properties=species:S:1:pos:R:3 pbc="T T T"
Sm -3.541 0.591 -2.368
Sm -7.902 -3.528 -0.312
Pu -6.411 2.615 1.728
Os -3.266 1.867 -5.148
Sm -10.489 4.506 -1.306
Os -8.932 2.564 0.492
Sm -7.067 2.626 -1.921
Pu -4.726 -1.996 -0.324
Sm -14.850 0.387 0.751
Sm -13.313 4.778 1.649
Sm -11.324 -1.648 0.304
Pu -9.864 4.445 2.405
Os -6.665 -1.763 -5.210
Pu -15.405 0.270 -2.707
Pu -5.695 -3.888 -6.774
Os -11.727 2.741 3.593
Sm -5.078 -3.800 -3.267
Pu -2.987 0.708 1.090
Os -12.878 0.308 -1.525
Pu -11.981 -1.637 -3.346
Pu -6.787 -0.763 -2.609
Os -5.513 0.670 -0.092
Pu -10.212 1.112 -1.909
Pu -8.527 -3.467 -4.023
Pu -13.665 2.974 -1.293
Os -15.125 -0.889 3.530
Os -9.460 -1.586 -2.110
Pu -14.465 2.117 3.720
Pu -8.179 -0.134 0.291
Pu -11.604 1.741 0.992
Pu -3.927 -1.139 -5.337
Pu -12.696 4.866 5.157
```

Calculated values
DFT formation energy = 0.016 eV/atom
energy above the most stable polymorph in this dataset = 0.0 meV per atom
crystal system = orthorhombic
space-group type = No. 62

---

[4]
Computed, not measured: a relaxed SmPuOs crystal at the PBE-GGA level of DFT.

extended XYZ file:
```
18
Lattice="-2.717 6.330 -2.314 -0.294 -3.298 -8.677 -4.331 -3.652 6.505" Properties=species:S:1:pos:R:3 pbc="T T T"
Pu -3.175 3.435 -1.198
Sm -4.570 2.518 1.683
Sm -2.572 -3.603 -5.999
Pu -4.860 -2.439 -3.878
Os -2.267 2.293 -8.250
Os -2.632 0.892 -0.250
Sm -1.126 -0.365 -7.279
Pu -0.161 -1.616 -4.351
Os -6.450 0.291 2.593
Pu -4.713 -0.790 0.460
Os -2.779 -0.757 -4.588
Sm -4.718 0.869 -2.656
Pu -3.322 1.786 -5.536
Os -3.369 -4.635 -3.094
Sm -5.309 -2.367 3.565
Pu -0.014 0.033 -0.012
Sm -2.425 -1.954 -1.660
Os -3.222 -2.986 1.244
```

Calculated values
DFT formation energy = -0.101 eV/atom
energy above the most stable polymorph in this dataset = 0.0 meV per atom
crystal system = hexagonal
space-group type = No. 189

---

[5]
Computed, not measured: a relaxed SmPuOs crystal at the PBE-GGA level of DFT.

extended XYZ file:
```
3
Lattice="-0.032 -2.380 2.692 3.492 -0.657 -0.539 -0.440 5.486 2.445" Properties=species:S:1:pos:R:3 pbc="T T T"
Pu 0.093 0.285 0.253
Sm 0.832 2.560 2.272
Os 2.095 -0.395 2.074
```

Calculated values
DFT formation energy = 0.054 eV/atom
energy above the most stable polymorph in this dataset = 155.0 meV per atom
crystal system = tetragonal
space-group type = No. 107

---

[6]
Computed, not measured: a relaxed SmPuOs4 crystal at the PBE-GGA level of DFT.

extended XYZ file:
```
6
Lattice="5.378 0.000 0.000 2.689 4.657 0.000 2.689 1.552 4.391" Properties=species:S:1:pos:R:3 pbc="T T T"
Os 5.378 3.105 0.546
Os 6.724 3.882 2.745
Os 4.031 3.882 2.745
Sm 2.689 1.552 1.098
Os 5.378 1.550 2.745
Pu 0.000 0.000 0.000
```

Calculated values
DFT formation energy = -0.129 eV/atom
crystal system = cubic
space-group type = No. 216

---

[7]
Computed, not measured: a relaxed SmPu2Os crystal at the PBE-GGA level of DFT.

extended XYZ file:
```
4
Lattice="3.455 0.000 0.000 0.000 3.455 0.000 0.000 0.000 8.325" Properties=species:S:1:pos:R:3 pbc="T T T"
Pu 0.000 0.000 1.603
Sm 1.728 1.728 4.163
Pu 0.000 0.000 6.722
Os 1.728 1.728 0.000
```

Calculated values
DFT formation energy = 0.102 eV/atom
energy above the most stable polymorph in this dataset = 85.4 meV per atom
crystal system = tetragonal
space-group type = No. 123

---

[8]
Computed, not measured: a relaxed SmPuOs crystal at the PBE-GGA level of DFT.

extended XYZ file:
```
12
Lattice="4.076 0.000 0.000 -2.038 8.368 -1.122 0.000 -0.616 9.018" Properties=species:S:1:pos:R:3 pbc="T T T"
Os 2.038 2.914 6.244
Pu 0.000 2.812 4.328
Sm 2.038 2.160 1.413
Sm 2.038 7.757 1.580
Os 0.000 4.837 1.652
Os 0.000 6.756 3.732
Os 2.038 0.995 4.164
Sm 0.000 -0.005 6.316
Pu 0.000 2.589 8.024
Sm 0.000 5.592 6.483
Pu 2.038 5.163 -0.128
Pu 2.038 4.940 3.568
```

Calculated values
DFT formation energy = 0.046 eV/atom
energy above the most stable polymorph in this dataset = 147.7 meV per atom
crystal system = monoclinic
space-group type = No. 12

---

The highest DFT formation energy belongs to which entry? Sm2PuOs